# 1
BaLiSi2Pt | GGA-PBE | optimized geometry

Geometry as CIF:
```
data_BaLiSi2Pt
_cell_length_a 4.487
_cell_length_b 4.487
_cell_length_c 10.047
_cell_angle_alpha 90.00
_cell_angle_beta 90.00
_cell_angle_gamma 90.00
_space_group_name_H-M_alt 'I -4 m 2'
_space_group_IT_number 119
_space_group_name_Hall 'I -4 -2'
loop_
_atom_site_label
_atom_site_fract_x
_atom_site_fract_y
_atom_site_fract_z
Ba1 0.000 0.000 0.000
Li1 0.000 0.500 0.750
Si1 0.000 0.000 0.377
Pt1 0.000 0.500 0.250
```

=====

# 2
# BaLi2SiPt GGA-PBE optimized geometry
# * ΔE to the lowest computed polymorph: 0.44 eV/f.u.
data_BaLi2SiPt
_cell_length_a 4.931
_cell_length_b 4.931
_cell_length_c 4.705
_cell_angle_alpha 90.00
_cell_angle_beta 90.00
_cell_angle_gamma 90.00
_space_group_name_H-M_alt 'P 4/m m m'
_space_group_IT_number 123
_space_group_name_Hall '-P 4 2'
loop_
_atom_site_label
_atom_site_fract_x
_atom_site_fract_y
_atom_site_fract_z
Ba1 0.000 0.000 0.000
Li1 0.000 0.500 0.500
Si1 0.500 0.500 0.500
Pt1 0.500 0.500 0.000

=====

# 3
Ba2LiSi3Pt4 | GGA-PBE | optimized geometry

Geometry as CIF:
```
data_Ba2LiSi3Pt4
_cell_length_a 4.396
_cell_length_b 4.396
_cell_length_c 10.349
_cell_angle_alpha 90.00
_cell_angle_beta 90.00
_cell_angle_gamma 90.00
_space_group_name_H-M_alt 'P -4 m 2'
_space_group_IT_number 115
_space_group_name_Hall 'P -4 -2'
loop_
_atom_site_label
_atom_site_fract_x
_atom_site_fract_y
_atom_site_fract_z
Ba1 0.000 0.500 0.244
Li1 0.500 0.500 0.000
Si1 0.000 0.000 0.000
Si2 0.000 0.500 0.616
Pt1 0.000 0.000 0.500
Pt2 0.000 0.500 0.871
Pt3 0.500 0.500 0.500
```

=====

What are the energy relative to the elements, uncorrected values for these records? In order: -0.53; -0.40; -0.80 eV/atom.
What are the total energy values for these records? In order: -4.676; -3.841; -5.421 eV/atom.